A.
CsFe2Tc2 | PBE | optimized geometry

Cell lengths 4.0593, 4.0593, 7.3570 Å; angles 73.99, 73.99, 90.00 degrees
Closest atoms and distances in Å follow each position.
Atoms (fractional coordinates):
Cs (0.0000, 0.0000, 0.0000)  8 Tc 3.65, 8 Fe 3.95, 4 Cs 4.06
Tc (0.3341, 0.3341, 0.3318)  4 Fe 2.33
Tc (0.6659, 0.6659, 0.6682)  4 Fe 2.33
Fe (0.7500, 0.2500, 0.5000)  4 Tc 2.33
Fe (0.2500, 0.7500, 0.5000)  4 Tc 2.33

B.
CsFe2Tc2 | PBE | optimized geometry

Cell lengths 7.8509, 7.8509, 2.9013 Å; angles 90.00, 90.00, 90.00 degrees
Closest atoms and distances in Å follow each position.
Atoms (fractional coordinates):
Cs (0.0000, 0.0000, 0.0000)  2 Cs 2.90, 4 Tc 3.10
Cs (0.5000, 0.5000, 0.0000)  2 Cs 2.90, 4 Tc 3.10
Tc (0.3752, 0.8752, 0.0000)  4 Fe 2.56, 1 Tc 2.77
Tc (0.8752, 0.6248, 0.0000)  4 Fe 2.56, 1 Tc 2.77
Tc (0.6248, 0.1248, 0.0000)  4 Fe 2.56, 1 Tc 2.77
Tc (0.1248, 0.3752, 0.0000)  4 Fe 2.56, 1 Tc 2.77
Fe (0.1430, 0.6430, 0.5000)  4 Tc 2.56
Fe (0.6430, 0.8570, 0.5000)  4 Tc 2.56
Fe (0.8570, 0.3570, 0.5000)  4 Tc 2.56
Fe (0.3570, 0.1430, 0.5000)  4 Tc 2.56

Computed stability ranking, most favorable first: B, A

A.
CsFeTc3 | PBE | optimized geometry

Cell lengths 4.6595, 4.6595, 4.6595 Å; angles 90.00, 90.00, 90.00 degrees
Closest atoms and distances in Å follow each position.
Atoms (fractional coordinates):
Cs (0.5000, 0.5000, 0.5000)  12 Tc 3.29
Tc (0.0000, 0.5000, 0.0000)  2 Fe 2.33
Tc (0.0000, 0.0000, 0.5000)  2 Fe 2.33
Tc (0.5000, 0.0000, 0.0000)  2 Fe 2.33
Fe (0.0000, 0.0000, 0.0000)  6 Tc 2.33

B.
CsFeTc3 | PBE | optimized geometry

Cell lengths 4.8074, 4.8074, 4.8074 Å; angles 90.00, 90.00, 90.00 degrees
Closest atoms and distances in Å follow each position.
Atoms (fractional coordinates):
Cs (0.0000, 0.0000, 0.0000)  6 Tc 2.40
Tc (0.0000, 0.5000, 0.0000)  2 Cs 2.40
Tc (0.0000, 0.0000, 0.5000)  2 Cs 2.40
Tc (0.5000, 0.0000, 0.0000)  2 Cs 2.40
Fe (0.5000, 0.5000, 0.5000)  12 Tc 3.40

Computed stability ranking, most favorable first: A, B